Material: PmHo2Cd3
Method: DFT, PBE
State: relaxed

Density (g/cm³): 8.43
Uncorrected energy (eV for the cell shown): -37.07
Symmetry: Cmmm, No. 65
Size of the total moment (μB per atom): 0.09
Formation energy (meV per atom): -314

Lattice parameters (Å, degrees): 5.2862 8.3715 7.6178 90.00 90.00 71.60
Last column: magnetic moment on the atom in μB.
Element x y z (fractional)
Ho (0.0000, 0.0000, 0.5000)  0.04
Ho (0.6686, 0.6629, 0.5000)  0.07
Ho (0.0000, 0.0000, 0.0000)  0.14
Ho (0.3314, 0.3371, 0.5000)  0.07
Pm (0.3345, 0.3310, 0.0000)  0.15
Pm (0.6655, 0.6690, 0.0000)  0.15
Cd (0.8357, 0.3285, 0.2593)  0.01
Cd (0.5000, 0.0000, 0.7399)  0.01
Cd (0.1643, 0.6715, 0.7407)  0.01
Cd (0.1643, 0.6715, 0.2593)  0.01
Cd (0.8357, 0.3285, 0.7407)  0.01
Cd (0.5000, 0.0000, 0.2601)  0.01